Record 1
# BeCuN, optimized geometry, DFT PBE
data_BeCuN
_cell_length_a 3.130
_cell_length_b 3.710
_cell_length_c 5.856
_cell_angle_alpha 104.60
_cell_angle_beta 105.08
_cell_angle_gamma 90.03
_space_group_name_H-M_alt 'P -1'
_space_group_IT_number 2
_space_group_name_Hall '-P 1'
loop_
_atom_site_label
_atom_site_fract_x
_atom_site_fract_y
_atom_site_fract_z
Be1 0.190 0.455 0.376
Cu1 0.395 0.116 0.798
N1 0.349 0.579 0.704
# * density of states at the Fermi level: 0.0 states/eV/f.u.
# * total magnetic moment: 0.000 μB per atom
# * formation energy from raw total energies: -69.2 kJ/mol of formula units

***

Record 2
# BeCuN, optimized geometry, DFT PBE
data_BeCuN
_cell_length_a 2.898
_cell_length_b 4.649
_cell_length_c 4.565
_cell_angle_alpha 90.00
_cell_angle_beta 108.45
_cell_angle_gamma 90.00
_space_group_name_H-M_alt 'P 1 21 1'
_space_group_IT_number 4
_space_group_name_Hall 'P 2yb'
loop_
_atom_site_label
_atom_site_fract_x
_atom_site_fract_y
_atom_site_fract_z
Be1 0.231 0.000 0.463
Cu1 0.496 0.598 0.996
N1 0.319 0.342 0.638
# * density of states at the Fermi level: 0.0 states/eV/f.u.
# * total magnetic moment: 0.000 μB per atom
# * formation energy from raw total energies: -95.3 kJ/mol of formula units

***

Record 3
# Be2CuN, optimized geometry, DFT PBE
data_Be2CuN
_cell_length_a 2.667
_cell_length_b 4.453
_cell_length_c 5.639
_cell_angle_alpha 90.00
_cell_angle_beta 90.00
_cell_angle_gamma 90.00
_space_group_name_H-M_alt 'P m m n'
_space_group_IT_number 59
loop_
_space_group_symop_operation_xyz
'x,y,z'
'-x,-y,-z'
'-x+1/2,-y+1/2,z'
'x+1/2,y+1/2,-z'
'x+1/2,-y,-z'
'-x+1/2,y,z'
'-x,y+1/2,-z'
'x,-y+1/2,z'
loop_
_atom_site_label
_atom_site_fract_x
_atom_site_fract_y
_atom_site_fract_z
Be1 0.250 0.017 0.155
Cu1 0.250 0.750 0.509
N1 0.250 0.750 0.929
# * density of states at the Fermi level: 0.3 states/eV/f.u.
# * total magnetic moment: 0.000 μB per atom
# * formation energy from raw total energies: -183.0 kJ/mol of formula units

***

Record 4
# Be2CuN, optimized geometry, DFT PBE
data_Be2CuN
_cell_length_a 4.370
_cell_length_b 2.647
_cell_length_c 6.750
_cell_angle_alpha 90.00
_cell_angle_beta 99.51
_cell_angle_gamma 90.00
_space_group_name_H-M_alt 'P 1 21/m 1'
_space_group_IT_number 11
_space_group_name_Hall '-P 2yb'
loop_
_atom_site_label
_atom_site_fract_x
_atom_site_fract_y
_atom_site_fract_z
Be1 0.125 0.250 0.107
Be2 0.282 0.750 0.764
Cu1 0.352 0.750 0.367
N1 0.103 0.250 0.847
# * density of states at the Fermi level: 0.6 states/eV/f.u.
# * total magnetic moment: 0.000 μB per atom
# * formation energy from raw total energies: -132.7 kJ/mol of formula units

***

Record 5
# BeCu2N, optimized geometry, DFT PBE
data_BeCu2N
_cell_length_a 5.339
_cell_length_b 5.339
_cell_length_c 5.339
_cell_angle_alpha 90.00
_cell_angle_beta 90.00
_cell_angle_gamma 90.00
_space_group_name_H-M_alt 'F m -3 m'
_space_group_IT_number 225
_space_group_name_Hall '-F 4 2 3'
loop_
_atom_site_label
_atom_site_fract_x
_atom_site_fract_y
_atom_site_fract_z
Be1 0.000 0.000 0.000
Cu1 0.250 0.250 0.250
N1 0.000 0.000 0.500
# * distance to the lowest polymorph of the same formula: 0.000 eV/atom
# * density of states at the Fermi level: 1.6 states/eV/f.u.
# * total magnetic moment: 0.000 μB per atom
# * formation energy from raw total energies: 306.4 kJ/mol of formula units

***

Record 6
# Be2CuN, optimized geometry, DFT PBE
data_Be2CuN
_cell_length_a 2.6620
_cell_length_b 2.6620
_cell_length_c 16.5622
_cell_angle_alpha 90.00
_cell_angle_beta 90.00
_cell_angle_gamma 120.00
_space_group_name_H-M_alt 'R 3 m'
_space_group_IT_number 160
_space_group_name_Hall 'R 3 -2"'
loop_
_atom_site_label
_atom_site_fract_x
_atom_site_fract_y
_atom_site_fract_z
Be1 0.0000 0.0000 0.0000
Be2 0.0000 0.0000 0.2376
Cu1 0.0000 0.0000 0.7822
N1 0.0000 0.0000 0.6201
# * density of states at the Fermi level: 0.4 states/eV/f.u.
# * total magnetic moment: 0.000 μB per atom
# * formation energy from raw total energies: -180.2 kJ/mol of formula units